AcBe2H6: optimized geometry, PBE-GGA.

Lattice parameters (Å, degrees): 6.055 6.536 4.767 90.00 113.03 90.00
Space group C2/m (No. 12)
Inequivalent atoms, fractional coordinates:
Ac 0.000 0.000 0.000
Be 0.050 0.500 0.275
H 0.098 0.325 0.790
H 0.198 0.000 0.601

Output
raw total energy = -67.494 eV for the cell shown

---

Tb6PmPr2Y3: optimized geometry, PBE-GGA.

Lattice parameters (Å, degrees): 6.236 10.797 11.917 90.00 100.01 90.00
Space group C2/m (No. 12)
Inequivalent atoms, fractional coordinates:
Tb 0.248 0.000 0.247
Tb 0.249 0.333 0.247
Pm 0.000 0.000 0.500
Pr 0.000 0.333 0.500
Y 0.000 0.167 0.000
Y 0.000 0.500 0.000

Output
ΔE_f = 0.0174 eV/atom
raw total energy = -122.550 eV for the cell shown

---

Nd8Ru3SBr4: optimized geometry, PBE-GGA.

Lattice parameters (Å, degrees): 8.2965 8.2965 23.2483 90.00 90.00 120.00
Space group R-3m (No. 166, hexagonal axes)
Inequivalent atoms, fractional coordinates:
Nd 0.0000 0.0000 0.2340
Nd 0.0132 0.5066 0.7688
Ru 0.0000 0.5000 0.5000
S 0.0000 0.0000 0.5000
Br 0.0000 0.0000 0.0000
Br 0.0000 0.5000 0.0000

Output
raw total energy = -277.599 eV for the cell shown
raw formation energy = -15.7 eV per formula unit